Material: AcPm6Th2
Method: DFT, GGA-PBE
State: optimized geometry

abc: 3.658 3.658 27.402
angles: 90.00 90.00 120.00
Sites, in units of the cell vectors:
Ac  0.000  0.000  0.000
Pm  0.000  0.000  0.225
Pm  0.000  0.000  0.437
Pm  0.000  0.000  0.563
Pm  0.000  0.000  0.775
Pm  0.333  0.667  0.116
Pm  0.333  0.667  0.884
Th  0.333  0.667  0.333
Th  0.333  0.667  0.667

Crystal system: hexagonal
Final energy: -46.58 eV per cell
SG: P-6m2
Magnetic moment: 0.000 μB/atom
Volume: 317 Å³/f.u.

---

Material: SiHg4Pt
Method: DFT, GGA-PBE
State: optimized geometry

abc: 5.696 5.696 5.696
angles: 60.00 60.00 60.00
Sites, in units of the cell vectors:
Si  0.000  0.000  0.000
Hg  0.126  0.625  0.625
Hg  0.625  0.126  0.625
Hg  0.625  0.625  0.126
Hg  0.625  0.625  0.625
Pt  0.250  0.250  0.250

Crystal system: cubic
Final energy: -8.93 eV per cell
SG: F-43m
Magnetic moment: 0.000 μB/atom
Volume: 131 Å³/f.u.

---

Material: RbNb3Re
Method: DFT, GGA-PBE
State: optimized geometry

abc: 4.697 4.697 4.697
angles: 90.00 90.00 90.00
Sites, in units of the cell vectors:
Rb  0.000  0.000  0.000
Nb  0.000  0.000  0.500
Nb  0.000  0.500  0.000
Nb  0.500  0.000  0.000
Re  0.500  0.500  0.500

Crystal system: cubic
SG: Pm-3m
E above lowest polymorph: 1751.4 meV/atom
Magnetic moment: 0.000 μB/atom
Volume: 104 Å³/f.u.

---

Material: Pr2Ga2CuRh5
Method: DFT, GGA-PBE
State: optimized geometry

abc: 9.955 9.955 3.551
angles: 90.00 90.00 90.00
Sites, in units of the cell vectors:
Pr  0.176  0.324  0.000
Pr  0.324  0.824  0.000
Pr  0.676  0.176  0.000
Pr  0.824  0.676  0.000
Ga  0.124  0.624  0.000
Ga  0.376  0.124  0.000
Ga  0.624  0.876  0.000
Ga  0.876  0.376  0.000
Cu  0.000  0.000  0.000
Cu  0.500  0.500  0.000
Rh  0.000  0.500  0.500
Rh  0.062  0.797  0.500
Rh  0.203  0.062  0.500
Rh  0.297  0.562  0.500
Rh  0.438  0.297  0.500
Rh  0.500  0.000  0.500
Rh  0.562  0.703  0.500
Rh  0.703  0.438  0.500
Rh  0.797  0.938  0.500
Rh  0.938  0.203  0.500

Crystal system: tetragonal
Final energy: -123.39 eV per cell
SG: P4/mbm
Magnetic moment: 0.000 μB/atom
Volume: 176 Å³/f.u.

---

Material: Tb4PuSe5
Method: DFT, GGA-PBE
State: optimized geometry

abc: 7.133 7.133 10.048
angles: 118.21 118.21 33.31
Sites, in units of the cell vectors:
Tb  0.099  0.099  0.398
Tb  0.299  0.299  0.197
Tb  0.701  0.701  0.803
Tb  0.901  0.901  0.602
Pu  0.500  0.500  0.000
Se  0.101  0.101  0.899
Se  0.298  0.298  0.697
Se  0.500  0.500  0.500
Se  0.702  0.702  0.303
Se  0.899  0.899  0.101

Crystal system: monoclinic
Final energy: -67.74 eV per cell
SG: C2/m
Magnetic moment: 0.601 μB/atom
Volume: 244 Å³/f.u.

---

Material: ErInPd2
Method: DFT, GGA-PBE
State: optimized geometry

abc: 3.456 3.456 6.541
angles: 90.00 90.00 90.00
Sites, in units of the cell vectors:
Er  0.000  0.000  0.000
In  0.000  0.000  0.500
Pd  0.500  0.500  0.261
Pd  0.500  0.500  0.739

Crystal system: tetragonal
Final energy: -20.67 eV per cell
SG: P4/mmm
Magnetic moment: 0.000 μB/atom
Volume: 78 Å³/f.u.